Entry one
Entry from Alexandria via LeMat-Bulk: crystalline LiY2Pt at its relaxed geometry (PBE).

Results
Magnetic moment   0.0 μB per cell
SG   R3m

Lattice parameters (Å, degrees): 7.951 7.951 7.951 30.40 30.40 30.40
Atoms (fractional coordinates):
1 Li 0.000 0.000 0.000
2 Y 0.560 0.560 0.560
3 Y 0.766 0.766 0.766
4 Pt 0.162 0.162 0.162

Entry two
Entry from Alexandria via LeMat-Bulk: crystalline LiY2Pt at its relaxed geometry (PBE).

Results
Magnetic moment   0.0 μB per cell
SG   Imm2

Lattice parameters (Å, degrees): 6.300 6.300 6.300 147.14 135.23 56.64
Atoms (fractional coordinates):
1 Li 0.000 0.000 0.000
2 Y 0.398 0.398 0.000
3 Y 0.686 0.186 0.500
4 Pt 0.191 0.691 0.500

Entry three
Entry from Alexandria via LeMat-Bulk: crystalline LiY2Pt at its relaxed geometry (PBE).

Results
Magnetic moment   0.0 μB per cell
SG   Cmmm

Lattice parameters (Å, degrees): 4.885 4.885 3.692 90.00 90.00 90.10
Atoms (fractional coordinates):
1 Li 0.000 0.000 0.000
2 Y 0.000 0.500 0.500
3 Y 0.500 0.000 0.500
4 Pt 0.500 0.500 0.000

Of them, the most stable is entry three and the least stable is entry one.

Entry one
Entry from Alexandria via LeMat-Bulk: crystalline LiY2Pt at its relaxed geometry (PBE).

Results
Magnetic moment   0.0 μB per cell
SG   Fm-3m

Lattice parameters (Å, degrees): 4.992 4.992 4.992 60.00 60.00 60.00
Atoms (fractional coordinates):
1 Li 0.000 0.000 0.000
2 Y 0.250 0.250 0.250
3 Y 0.750 0.750 0.750
4 Pt 0.500 0.500 0.500

Entry two
Entry from Alexandria via LeMat-Bulk: crystalline LiY2Pt at its relaxed geometry (PBE).

Results
Magnetic moment   0.3 μB per cell
SG   P4mm

Lattice parameters (Å, degrees): 3.555 3.555 7.305 90.00 90.00 90.00
Atoms (fractional coordinates):
1 Li 0.000 0.000 0.000
2 Y 0.000 0.000 0.376
3 Y 0.500 0.500 0.747
4 Pt 0.500 0.500 0.157

Of them, the most stable is entry one and the least stable is entry two.

Entry one
Entry from Alexandria via LeMat-Bulk: crystalline LiY2Pt at its relaxed geometry (PBE).

Results
Magnetic moment   0.0 μB per cell
SG   Amm2

Lattice parameters (Å, degrees): 4.530 5.664 5.664 39.57 90.00 90.00
Atoms (fractional coordinates):
1 Li 0.000 0.000 0.000
2 Y 0.000 0.710 0.710
3 Y 0.500 0.429 0.429
4 Pt 0.500 0.140 0.140

Entry two
Entry from Alexandria via LeMat-Bulk: crystalline LiY2Pt at its relaxed geometry (PBE).

Results
Magnetic moment   0.0 μB per cell
SG   C2/m

Lattice parameters (Å, degrees): 4.116 4.116 8.197 104.71 104.71 60.18
Atoms (fractional coordinates):
1 Li 0.000 0.000 0.000
2 Y 0.231 0.231 0.690
3 Y 0.769 0.769 0.310
4 Pt 0.500 0.500 0.500

Of them, the most stable is entry one and the least stable is entry two.

Entry one
Entry from Alexandria via LeMat-Bulk: crystalline LiYPt at its relaxed geometry (PBE).

Results
Magnetic moment   0.0 μB per cell
SG   Pmma

Lattice parameters (Å, degrees): 4.636 3.513 8.359 90.00 90.00 90.00
Atoms (fractional coordinates):
1 Li 0.250 0.000 0.088
2 Li 0.750 0.000 0.912
3 Y 0.250 0.500 0.674
4 Y 0.750 0.500 0.326
5 Pt 0.250 0.000 0.390
6 Pt 0.750 0.000 0.610

Entry two
Entry from Alexandria via LeMat-Bulk: crystalline LiYPt at its relaxed geometry (PBE).

Results
Magnetic moment   0.0 μB per cell
SG   P-62m

Lattice parameters (Å, degrees): 7.195 7.195 4.010 90.00 90.00 120.00
Atoms (fractional coordinates):
1 Li 0.000 0.763 0.000
2 Li 0.237 0.237 0.000
3 Li 0.763 0.000 0.000
4 Y 0.000 0.406 0.500
5 Y 0.406 0.000 0.500
6 Y 0.594 0.594 0.500
7 Pt 0.000 0.000 0.500
8 Pt 0.333 0.667 0.000
9 Pt 0.667 0.333 0.000

Entry three
Entry from Alexandria via LeMat-Bulk: crystalline LiYPt at its relaxed geometry (PBE).

Results
Magnetic moment   0.0 μB per cell
SG   F-43m

Lattice parameters (Å, degrees): 4.614 4.614 4.614 60.00 60.00 60.00
Atoms (fractional coordinates):
1 Li 0.000 0.000 0.000
2 Y 0.500 0.500 0.500
3 Pt 0.250 0.250 0.250

Of them, the most stable is entry two and the least stable is entry three.

Entry one
Entry from Alexandria via LeMat-Bulk: crystalline LiYPt at its relaxed geometry (PBE).

Results
Magnetic moment   0.0 μB per cell
SG   I4mm

Lattice parameters (Å, degrees): 5.163 5.163 5.163 138.74 138.74 59.77
Atoms (fractional coordinates):
1 Li 0.000 0.000 0.000
2 Y 0.306 0.306 0.000
3 Pt 0.652 0.652 0.000

Entry two
Entry from Alexandria via LeMat-Bulk: crystalline LiYPt at its relaxed geometry (PBE).

Results
Magnetic moment   0.0 μB per cell
SG   P-6m2

Lattice parameters (Å, degrees): 4.299 4.299 3.683 90.00 90.00 120.00
Atoms (fractional coordinates):
1 Li 0.000 0.000 0.000
2 Y 0.333 0.667 0.500
3 Pt 0.667 0.333 0.000

Of them, the most stable is entry two and the least stable is entry one.

Entry one
Entry from Alexandria via LeMat-Bulk: crystalline LiY4Pt at its relaxed geometry (PBE).

Results
Magnetic moment   0.0 μB per cell
SG   I4_1md

Lattice parameters (Å, degrees): 8.040 8.040 8.040 102.27 102.27 125.10
Atoms (fractional coordinates):
1 Li 0.000 0.000 0.000
2 Li 0.750 0.250 0.500
3 Y 0.057 0.820 0.237
4 Y 0.074 0.382 0.308
5 Y 0.074 0.765 0.692
6 Y 0.132 0.324 0.808
7 Y 0.515 0.324 0.192
8 Y 0.570 0.307 0.737
9 Y 0.570 0.833 0.263
10 Y 0.583 0.820 0.763
11 Pt 0.360 0.860 0.500
12 Pt 0.610 0.610 0.000

Entry two
Entry from Alexandria via LeMat-Bulk: crystalline LiY4Pt at its relaxed geometry (PBE).

Results
Magnetic moment   0.0 μB per cell
SG   F-43m

Lattice parameters (Å, degrees): 6.189 6.189 6.189 60.00 60.00 60.00
Atoms (fractional coordinates):
1 Li 0.000 0.000 0.000
2 Y 0.376 0.376 0.376
3 Y 0.376 0.376 0.871
4 Y 0.376 0.871 0.376
5 Y 0.871 0.376 0.376
6 Pt 0.750 0.750 0.750

Of them, the most stable is entry one and the least stable is entry two.

Entry one
Entry from Alexandria via LeMat-Bulk: crystalline Li2Zn2Pt at its relaxed geometry (PBE).

Results
Magnetic moment   0.0 μB per cell
SG   C2/m

Lattice parameters (Å, degrees): 4.729 4.729 6.646 118.80 118.80 34.30
Atoms (fractional coordinates):
1 Li 0.202 0.202 0.298
2 Li 0.798 0.798 0.702
3 Zn 0.406 0.406 0.117
4 Zn 0.594 0.594 0.883
5 Pt 0.000 0.000 0.500

Entry two
Entry from Alexandria via LeMat-Bulk: crystalline Li2Zn2Pt at its relaxed geometry (PBE).

Results
Magnetic moment   0.0 μB per cell
SG   I4/mmm

Lattice parameters (Å, degrees): 6.917 6.917 6.917 151.23 151.23 41.15
Atoms (fractional coordinates):
1 Li 0.088 0.088 0.000
2 Li 0.912 0.912 0.000
3 Zn 0.250 0.750 0.500
4 Zn 0.750 0.250 0.500
5 Pt 0.500 0.500 0.000

Entry three
Entry from Alexandria via LeMat-Bulk: crystalline Li2Zn2Pt at its relaxed geometry (PBE).

Results
Magnetic moment   0.0 μB per cell
SG   P4/mbm

Lattice parameters (Å, degrees): 6.904 6.904 2.834 90.00 90.00 90.00
Atoms (fractional coordinates):
1 Li 0.134 0.366 0.000
2 Li 0.366 0.866 0.000
3 Li 0.634 0.134 0.000
4 Li 0.866 0.634 0.000
5 Zn 0.163 0.663 0.500
6 Zn 0.337 0.163 0.500
7 Zn 0.663 0.837 0.500
8 Zn 0.837 0.337 0.500
9 Pt 0.000 0.000 0.000
10 Pt 0.500 0.500 0.000

Of them, the most stable is entry one and the least stable is entry two.

Entry one
Entry from Alexandria via LeMat-Bulk: crystalline Li2Zn2Pt at its relaxed geometry (PBE).

Results
Magnetic moment   0.0 μB per cell
SG   C2/m

Lattice parameters (Å, degrees): 4.290 4.290 5.104 117.23 117.23 58.45
Atoms (fractional coordinates):
1 Li 0.103 0.103 0.310
2 Li 0.897 0.897 0.690
3 Zn 0.294 0.294 0.886
4 Zn 0.706 0.706 0.114
5 Pt 0.500 0.500 0.500

Entry two
Entry from Alexandria via LeMat-Bulk: crystalline Li2Zn2Pt at its relaxed geometry (PBE).

Results
Magnetic moment   0.0 μB per cell
SG   P4/mbm

Lattice parameters (Å, degrees): 6.874 6.874 2.961 90.00 90.00 90.00
Atoms (fractional coordinates):
1 Li 0.168 0.332 0.000
2 Li 0.332 0.832 0.000
3 Li 0.668 0.168 0.000
4 Li 0.832 0.668 0.000
5 Zn 0.134 0.634 0.500
6 Zn 0.366 0.134 0.500
7 Zn 0.634 0.866 0.500
8 Zn 0.866 0.366 0.500
9 Pt 0.000 0.000 0.500
10 Pt 0.500 0.500 0.500

Of them, the most stable is entry one and the least stable is entry two.

Entry one
Entry from Alexandria via LeMat-Bulk: crystalline Li3Zn3Pt2 at its relaxed geometry (PBE).

Results
Magnetic moment   0.0 μB per cell
SG   P6_3/mcm

Lattice parameters (Å, degrees): 7.376 7.376 5.469 90.00 90.00 120.00
Atoms (fractional coordinates):
1 Li 0.000 0.252 0.250
2 Li 0.000 0.748 0.750
3 Li 0.252 0.000 0.250
4 Li 0.252 0.252 0.750
5 Li 0.748 0.000 0.750
6 Li 0.748 0.748 0.250
7 Zn 0.000 0.407 0.750
8 Zn 0.000 0.593 0.250
9 Zn 0.407 0.000 0.750
10 Zn 0.407 0.407 0.250
11 Zn 0.593 0.000 0.250
12 Zn 0.593 0.593 0.750
13 Pt 0.333 0.667 0.000
14 Pt 0.333 0.667 0.500
15 Pt 0.667 0.333 0.000
16 Pt 0.667 0.333 0.500

Entry two
Entry from Alexandria via LeMat-Bulk: crystalline Li3Zn3Pt2 at its relaxed geometry (PBE).

Results
Magnetic moment   0.0 μB per cell
SG   Cmcm

Lattice parameters (Å, degrees): 4.987 4.987 12.250 90.00 90.00 128.83
Atoms (fractional coordinates):
1 Li 0.073 0.927 0.590
2 Li 0.073 0.927 0.910
3 Li 0.245 0.755 0.750
4 Li 0.755 0.245 0.250
5 Li 0.927 0.073 0.090
6 Li 0.927 0.073 0.410
7 Zn 0.367 0.633 0.545
8 Zn 0.367 0.633 0.955
9 Zn 0.474 0.526 0.250
10 Zn 0.526 0.474 0.750
11 Zn 0.633 0.367 0.045
12 Zn 0.633 0.367 0.455
13 Pt 0.221 0.779 0.139
14 Pt 0.221 0.779 0.361
15 Pt 0.779 0.221 0.639
16 Pt 0.779 0.221 0.861

Of them, the most stable is entry one and the least stable is entry two.

Entry one
Entry from Alexandria via LeMat-Bulk: crystalline Li6ZnPt at its relaxed geometry (PBE).

Results
Magnetic moment   0.0 μB per cell
SG   Pmm2

Lattice parameters (Å, degrees): 4.523 5.706 4.740 90.00 90.00 90.00
Atoms (fractional coordinates):
1 Li 0.000 0.000 0.000
2 Li 0.000 0.237 0.458
3 Li 0.000 0.763 0.458
4 Li 0.500 0.232 0.823
5 Li 0.500 0.500 0.314
6 Li 0.500 0.768 0.823
7 Zn 0.000 0.500 0.948
8 Pt 0.500 0.000 0.327

Entry two
Entry from Alexandria via LeMat-Bulk: crystalline Li6ZnPt at its relaxed geometry (PBE).

Results
Magnetic moment   0.0 μB per cell
SG   P-1

Lattice parameters (Å, degrees): 4.955 4.962 4.978 89.90 88.54 89.48
Atoms (fractional coordinates):
1 Li 0.001 0.240 0.000
2 Li 0.240 0.499 0.501
3 Li 0.498 0.000 0.740
4 Li 0.502 0.000 0.260
5 Li 0.760 0.501 0.499
6 Li 0.999 0.760 0.000
7 Zn 0.500 0.500 0.000
8 Pt 0.000 0.000 0.500

Of them, the most stable is entry one and the least stable is entry two.